{"formula": "GaAgHIr", "functional": "GGA-PBE", "state": "optimized geometry", "rho_g_cm3": 10.695, "e_above_lowest_polymorph_mev_per_atom": 129, "cell": [[3.0439, 0.0000, 0.0000], [0.0000, 1.4675, 6.4445], [0.0000, -1.4675, 6.4445]], "species": ["Ga", "Ag", "H", "Ir"], "fractional_positions": [[0.0000, 0.0000, 0.0000], [0.0000, 0.7382, 0.7382], [0.0000, 0.1334, 0.1334], [0.5000, 0.3948, 0.3948]]}



{"formula": "GaAgHIr", "functional": "GGA-PBE", "state": "optimized geometry", "rho_g_cm3": 11.774, "e_above_lowest_polymorph_mev_per_atom": 46, "cell": [[2.9306, 0.0000, 0.0000], [-1.4498, 4.2792, 0.0000], [-0.0060, -2.3359, 4.1703]], "species": ["Ga", "Ag", "H", "Ir"], "fractional_positions": [[0.0000, 0.0000, 0.0000], [0.8101, 0.6205, 0.3272], [0.5844, 0.1648, 0.5699], [0.2089, 0.4167, 0.7395]]}



{"formula": "GaAgHIr", "functional": "GGA-PBE", "state": "optimized geometry", "rho_g_cm3": 11.875, "e_above_lowest_polymorph_mev_per_atom": 113, "cell": [[1.4975, 0.8646, 6.6751], [-1.4975, 0.8646, 6.6751], [0.0000, -1.7291, 6.6751]], "species": ["Ga", "Ag", "H", "Ir"], "fractional_positions": [[0.0000, 0.0000, 0.0000], [0.5581, 0.5581, 0.5581], [0.1328, 0.1328, 0.1328], [0.7641, 0.7641, 0.7641]]}



{"formula": "GaAgHIr", "functional": "GGA-PBE", "state": "optimized geometry", "rho_g_cm3": 11.492, "e_above_lowest_polymorph_mev_per_atom": 203, "cell": [[2.5177, -1.4932, 0.0000], [2.5177, 1.4932, 0.0000], [-0.0774, 0.0000, 7.1259]], "species": ["Ga", "Ag", "H", "Ir"], "fractional_positions": [[0.0000, 0.0000, 0.0000], [0.3349, 0.3349, 0.6902], [0.6488, 0.6488, 0.2721], [0.9919, 0.9919, 0.3562]]}



{"formula": "GaAgHIr", "functional": "GGA-PBE", "state": "optimized geometry", "rho_g_cm3": 11.258, "e_above_lowest_polymorph_mev_per_atom": 4, "cell": [[2.8588, 0.0000, 0.0000], [0.0040, 4.0292, 0.0000], [1.4179, 2.0027, 4.7486]], "species": ["Ga", "Ag", "H", "Ir"], "fractional_positions": [[0.0000, 0.0000, 0.0000], [0.7927, 0.2962, 0.4073], [0.1858, 0.6891, 0.6227], [0.5744, 0.5747, 0.8497]]}



{"formula": "GaAgHIr", "functional": "GGA-PBE", "state": "optimized geometry", "rho_g_cm3": 10.927, "e_above_lowest_polymorph_mev_per_atom": 29, "cell": [[2.9325, 0.0000, 0.0000], [-0.0034, 4.0315, 0.0000], [-1.4485, -2.0047, 4.7664]], "species": ["Ga", "Ag", "H", "Ir"], "fractional_positions": [[0.0000, 0.0000, 0.0000], [0.7789, 0.2743, 0.5500], [0.7039, 0.7177, 0.4349], [0.5432, 0.5438, 0.0881]]}



{"formula": "GaAgHIr", "functional": "GGA-PBE", "state": "optimized geometry", "rho_g_cm3": 11.471, "e_above_lowest_polymorph_mev_per_atom": 34, "cell": [[3.9218, 0.0000, 0.0000], [0.0000, 2.9210, 0.0000], [-1.9732, 0.0000, 4.6858]], "species": ["Ga", "Ag", "H", "Ir"], "fractional_positions": [[0.0000, 0.0000, 0.0000], [0.2868, 0.0000, 0.5761], [0.7508, 0.5000, 0.4934], [0.5733, 0.5000, 0.1459]]}



{"formula": "GaAgHIr", "functional": "GGA-PBE", "state": "optimized geometry", "rho_g_cm3": 11.414, "e_above_lowest_polymorph_mev_per_atom": 21, "cell": [[4.3072, 0.0000, 0.0000], [0.0000, 3.3221, 0.0000], [-2.0826, 0.0000, 3.7703]], "species": ["Ga", "Ag", "H", "Ir"], "fractional_positions": [[0.0000, 0.0000, 0.0000], [0.3229, 0.5000, 0.6588], [0.7003, 0.5000, 0.2360], [0.6608, 0.0000, 0.3419]]}



{"formula": "GaAgHIr", "functional": "GGA-PBE", "state": "optimized geometry", "rho_g_cm3": 10.551, "e_above_lowest_polymorph_mev_per_atom": 43, "cell": [[4.2340, 0.0000, 0.0000], [0.0000, 2.8155, 0.0000], [-1.2480, 0.0000, 4.8959]], "species": ["Ga", "Ag", "H", "Ir"], "fractional_positions": [[0.0000, 0.0000, 0.0000], [0.3907, 0.0000, 0.5712], [0.6891, 0.0000, 0.2997], [0.5198, 0.5000, 0.0846]]}



{"formula": "LiGa2AgH", "functional": "GGA-PBE", "state": "optimized geometry", "dft_energy_ev_per_fu": -14.29, "rho_g_cm3": 5.959, "cell": [[4.4620, 0.0000, 0.0000], [0.0000, 4.4620, 0.0000], [0.0000, 0.0000, 3.5725]], "species": ["Li", "Ga", "Ga", "Ag", "H"], "fractional_positions": [[0.0000, 0.0000, 0.0000], [0.0000, 0.5000, 0.5000], [0.5000, 0.0000, 0.5000], [0.5000, 0.5000, 0.0000], [0.0000, 0.0000, 0.5000]]}



{"formula": "GaAg2HN", "functional": "GGA-PBE", "state": "optimized geometry", "dft_energy_ev_per_fu": -16.98, "rho_g_cm3": 7.692, "cell": [[4.8894, 0.0000, 0.0000], [0.0000, 4.8894, 0.0000], [0.0000, 0.0000, 2.7132]], "species": ["Ga", "Ag", "Ag", "H", "N"], "fractional_positions": [[0.0000, 0.0000, 0.0000], [0.0000, 0.5000, 0.5000], [0.5000, 0.0000, 0.5000], [0.5000, 0.5000, 0.5000], [0.5000, 0.5000, 0.0000]]}



{"formula": "GaNi2AgH", "functional": "GGA-PBE", "state": "optimized geometry", "rho_g_cm3": 7.185, "e_above_lowest_polymorph_mev_per_atom": 630, "cell": [[4.6112, 0.0000, 0.0000], [0.0000, 4.6112, 0.0000], [0.0000, 0.0000, 3.2172]], "species": ["Ga", "Ni", "Ni", "Ag", "H"], "fractional_positions": [[0.0000, 0.0000, 0.0000], [0.0000, 0.5000, 0.0000], [0.5000, 0.0000, 0.0000], [0.5000, 0.5000, 0.5000], [0.0000, 0.0000, 0.5000]]}